First-principles (GGA-PBE) data for La16Pm6Sm7 after structural relaxation, as listed in Alexandria via LeMat-Bulk.

Structure (CIF):
```
data_La16Pm6Sm7
_space_group_name_H-M_alt 'F m -3 m'
_space_group_IT_number 225
_space_group_name_Hall '-F 4 2 3'
_cell_length_a 16.163
_cell_length_b 16.163
_cell_length_c 16.163
_cell_angle_alpha 90.00
_cell_angle_beta 90.00
_cell_angle_gamma 90.00
loop_
_atom_site_label
_atom_site_fract_x
_atom_site_fract_y
_atom_site_fract_z
La1 0.121 0.121 0.121
La2 0.155 0.155 0.345
Pm1 0.000 0.000 0.294
Sm1 0.000 0.000 0.000
Sm2 0.000 0.250 0.250
```

---

First-principles (GGA-PBE) data for La8PmSm5 after structural relaxation, as listed in Alexandria via LeMat-Bulk.

Structure (CIF):
```
data_La8PmSm5
_space_group_name_H-M_alt 'I -4'
_space_group_IT_number 82
_space_group_name_Hall 'I -4'
_cell_length_a 9.853
_cell_length_b 9.853
_cell_length_c 10.488
_cell_angle_alpha 90.00
_cell_angle_beta 90.00
_cell_angle_gamma 90.00
loop_
_atom_site_label
_atom_site_fract_x
_atom_site_fract_y
_atom_site_fract_z
La1 0.070 0.172 0.152
La2 0.080 0.313 0.495
Pm1 0.000 0.000 0.500
Sm1 0.000 0.500 0.250
Sm2 0.104 0.295 0.822
```

---

# GGA-PBE La5Pm5Sm, optimized geometry
# energy relative to the lowest polymorph listed for this composition = 0.016 eV/atom
data_La5Pm5Sm
_space_group_name_H-M_alt 'P -6 m 2'
_space_group_IT_number 187
_space_group_name_Hall 'P -6 2'
_cell_length_a 6.2872
_cell_length_b 6.2872
_cell_length_c 11.4847
_cell_angle_alpha 90.00
_cell_angle_beta 90.00
_cell_angle_gamma 120.00
loop_
_atom_site_label
_atom_site_fract_x
_atom_site_fract_y
_atom_site_fract_z
La1 0.0000 0.0000 0.2328
La2 0.3433 0.1717 0.0000
Pm1 0.0000 0.0000 0.5000
Pm2 0.3333 0.6667 0.1798
Pm3 0.6667 0.3333 0.3351
Sm1 0.3333 0.6667 0.5000

---

# GGA-PBE LaPm8Sm6, optimized geometry
# energy relative to the lowest polymorph listed for this composition = 0.008 eV/atom
data_LaPm8Sm6
_space_group_name_H-M_alt 'R -3'
_space_group_IT_number 148
_space_group_name_Hall '-R 3'
_cell_length_a 9.4291
_cell_length_b 9.4291
_cell_length_c 20.3576
_cell_angle_alpha 90.00
_cell_angle_beta 90.00
_cell_angle_gamma 120.00
loop_
_atom_site_label
_atom_site_fract_x
_atom_site_fract_y
_atom_site_fract_z
La1 0.0000 0.0000 0.0000
Pm1 0.0000 0.0000 0.4282
Pm2 0.0643 0.8182 0.1630
Sm1 0.0430 0.7975 0.6911

---

# GGA-PBE La2Pm3Sm7, optimized geometry
# energy relative to the lowest polymorph listed for this composition = 0.012 eV/atom
data_La2Pm3Sm7
_space_group_name_H-M_alt 'P 1 2/m 1'
_space_group_IT_number 10
_space_group_name_Hall '-P 2y'
_cell_length_a 5.980
_cell_length_b 3.645
_cell_length_c 19.260
_cell_angle_alpha 90.00
_cell_angle_beta 93.16
_cell_angle_gamma 90.00
loop_
_atom_site_label
_atom_site_fract_x
_atom_site_fract_y
_atom_site_fract_z
La1 0.208 0.000 0.295
Pm1 0.000 0.000 0.000
Pm2 0.280 0.500 0.631
Sm1 0.185 0.500 0.142
Sm2 0.243 0.000 0.463
Sm3 0.314 0.000 0.827
Sm4 0.500 0.500 0.000

---

# GGA-PBE La8PmSm2, optimized geometry
# energy relative to the lowest polymorph listed for this composition = 0.000 eV/atom
data_La8PmSm2
_space_group_name_H-M_alt 'C 1 2/m 1'
_space_group_IT_number 12
_space_group_name_Hall '-C 2y'
_cell_length_a 18.857
_cell_length_b 5.253
_cell_length_c 8.280
_cell_angle_alpha 90.00
_cell_angle_beta 105.22
_cell_angle_gamma 90.00
loop_
_atom_site_label
_atom_site_fract_x
_atom_site_fract_y
_atom_site_fract_z
La1 0.046 0.000 0.227
La2 0.091 0.500 0.954
La3 0.137 0.000 0.684
La4 0.182 0.500 0.412
Pm1 0.000 0.500 0.500
Sm1 0.227 0.000 0.135

---

# GGA-PBE LaPmSm2, optimized geometry
# energy relative to the lowest polymorph listed for this composition = 0.117 eV/atom
data_LaPmSm2
_space_group_name_H-M_alt 'F m -3 m'
_space_group_IT_number 225
_space_group_name_Hall '-F 4 2 3'
_cell_length_a 8.240
_cell_length_b 8.240
_cell_length_c 8.240
_cell_angle_alpha 90.00
_cell_angle_beta 90.00
_cell_angle_gamma 90.00
loop_
_atom_site_label
_atom_site_fract_x
_atom_site_fract_y
_atom_site_fract_z
La1 0.000 0.000 0.000
Pm1 0.000 0.000 0.500
Sm1 0.250 0.250 0.250

---

# GGA-PBE La2Pm3Sm2, optimized geometry
# energy relative to the lowest polymorph listed for this composition = 0.097 eV/atom
data_La2Pm3Sm2
_space_group_name_H-M_alt 'C 1 2/m 1'
_space_group_IT_number 12
_space_group_name_Hall '-C 2y'
_cell_length_a 17.194
_cell_length_b 3.550
_cell_length_c 8.979
_cell_angle_alpha 90.00
_cell_angle_beta 116.38
_cell_angle_gamma 90.00
loop_
_atom_site_label
_atom_site_fract_x
_atom_site_fract_y
_atom_site_fract_z
La1 0.078 0.000 0.203
Pm1 0.000 0.000 0.500
Pm2 0.222 0.000 0.648
Sm1 0.140 0.500 0.906

---

# GGA-PBE LaPm3Sm7, optimized geometry
# energy relative to the lowest polymorph listed for this composition = 0.099 eV/atom
data_LaPm3Sm7
_space_group_name_H-M_alt 'I m m m'
_space_group_IT_number 71
_space_group_name_Hall '-I 2 2'
_cell_length_a 5.972
_cell_length_b 11.350
_cell_length_c 11.425
_cell_angle_alpha 90.00
_cell_angle_beta 90.00
_cell_angle_gamma 90.00
loop_
_atom_site_label
_atom_site_fract_x
_atom_site_fract_y
_atom_site_fract_z
La1 0.000 0.000 0.000
Pm1 0.000 0.000 0.500
Pm2 0.000 0.500 0.208
Sm1 0.000 0.206 0.303
Sm2 0.000 0.294 0.000
Sm3 0.000 0.500 0.500

---

# GGA-PBE La8Pm6Sm, optimized geometry
# energy relative to the lowest polymorph listed for this composition = 0.000 eV/atom
data_La8Pm6Sm
_space_group_name_H-M_alt 'R -3'
_space_group_IT_number 148
_space_group_name_Hall '-R 3'
_cell_length_a 6.4159
_cell_length_b 6.4159
_cell_length_c 45.2879
_cell_angle_alpha 90.00
_cell_angle_beta 90.00
_cell_angle_gamma 120.00
loop_
_atom_site_label
_atom_site_fract_x
_atom_site_fract_y
_atom_site_fract_z
La1 0.0000 0.0000 0.1667
La2 0.9998 0.3331 0.0343
Pm1 0.0000 0.3325 0.5659
Sm1 0.0000 0.0000 0.5000

---

Number 1: ΔH_f (0 K) 0.187 eV/atom. Number 2: ΔH_f (0 K) 0.217 eV/atom. Number 3: ΔH_f (0 K) 0.266 eV/atom. Number 4: ΔH_f (0 K) 0.149 eV/atom. Number 5: ΔH_f (0 K) 0.085 eV/atom. Number 6: ΔH_f (0 K) 0.014 eV/atom. Number 7: ΔH_f (0 K) 0.131 eV/atom. Number 8: ΔH_f (0 K) 0.112 eV/atom. Number 9: ΔH_f (0 K) 0.220 eV/atom. Number 10: ΔH_f (0 K) 0.021 eV/atom.